#A
Material: La4CoSi
Method: DFT, PBE-GGA
State: optimized geometry

Computed properties:
The space group is C2/c. The value obtained for the density of states at the Fermi level is 5.42 states/eV/f.u. The crystal system is monoclinic.

Unit cell a=8.3822 b=8.3822 c=6.3861 alpha=106.45 beta=106.45 gamma=115.57
With the nearest neighbours (Å) after each atom.
Sites, in units of the cell vectors:
1 La 0.0690 0.6888 0.9157  2 Si 3.10-3.18, 2 Co 3.16-3.38, 1 La 3.46
2 La 0.2154 0.3338 0.6864  2 Co 2.64-2.87
3 La 0.3112 0.9310 0.5843  2 Si 3.10-3.18, 2 Co 3.16-3.38, 1 La 3.46
4 La 0.3338 0.2154 0.1864  2 Co 2.64-2.87
5 La 0.6662 0.7846 0.8136  2 Co 2.64-2.87
6 La 0.6888 0.0690 0.4157  2 Si 3.10-3.18, 2 Co 3.16-3.38, 1 La 3.46
7 La 0.7846 0.6662 0.3136  2 Co 2.64-2.87
8 La 0.9310 0.3112 0.0843  2 Si 3.10-3.18, 2 Co 3.16-3.38, 1 La 3.46
9 Co 0.0109 0.9891 0.7500  4 La 2.64-2.87
10 Co 0.9891 0.0109 0.2500  4 La 2.64-2.87
11 Si 0.3749 0.6251 0.2500  8 La 3.10-3.19
12 Si 0.6251 0.3749 0.7500  8 La 3.10-3.19

---

#B
Material: La4CoSi
Method: DFT, PBE-GGA
State: optimized geometry

Computed properties:
The space group is F-43m. The value obtained for the density of states at the Fermi level is 10.34 states/eV/f.u. The crystal system is cubic.

Unit cell a=6.2678 b=6.2678 c=6.2678 alpha=60.00 beta=60.00 gamma=60.00
With the nearest neighbours (Å) after each atom.
Sites, in units of the cell vectors:
1 La 0.1240 0.1240 0.1240  6 La 3.11-3.16
2 La 0.1240 0.1240 0.6279  6 La 3.11-3.16
3 La 0.1240 0.6279 0.1240  6 La 3.11-3.16
4 La 0.6279 0.1240 0.1240  6 La 3.11-3.16
5 Co 0.5000 0.5000 0.5000  12 La 3.68, 4 Si 3.84
6 Si 0.7500 0.7500 0.7500  12 La 3.67, 4 Co 3.84

---

Question: which arrangement is favored energetically? Ranking from most to least stable: #A, #B.

---

#A
Material: La3SmCo
Method: DFT, PBE-GGA
State: optimized geometry

Computed properties:
The space group is Pm-3m. The value obtained for the density of states at the Fermi level is 9.84 states/eV/f.u. The crystal system is cubic.

Unit cell a=5.4913 b=5.4913 c=5.4913 alpha=90.00 beta=90.00 gamma=90.00
With the nearest neighbours (Å) after each atom.
Sites, in units of the cell vectors:
1 La 0.0000 0.0000 0.5000  2 Co 2.75
2 La 0.0000 0.5000 0.0000  2 Co 2.75
3 La 0.5000 0.0000 0.0000  2 Co 2.75
4 Sm 0.5000 0.5000 0.5000  12 La 3.88
5 Co 0.0000 0.0000 0.0000  6 La 2.75

---

#B
Material: La3SmCo
Method: DFT, PBE-GGA
State: optimized geometry

Computed properties:
The space group is Pmn2_1. The value obtained for the density of states at the Fermi level is 6.73 states/eV/f.u. The crystal system is orthorhombic.

Unit cell a=7.7113 b=6.6294 c=6.3941 alpha=90.00 beta=90.00 gamma=90.00
With the nearest neighbours (Å) after each atom.
Sites, in units of the cell vectors:
1 La 0.0000 0.1501 0.0000  1 Co 2.78
2 La 0.2489 0.6685 0.9968  2 Co 2.74-2.75
3 La 0.2511 0.3315 0.4968  2 Co 2.74-2.75
4 La 0.5000 0.8499 0.5000  1 Co 2.78
5 La 0.7489 0.3315 0.4968  2 Co 2.74-2.75
6 La 0.7511 0.6685 0.9968  2 Co 2.74-2.75
7 Sm 0.0000 0.8394 0.4964  1 Co 2.79
8 Sm 0.5000 0.1606 0.9964  1 Co 2.79
9 Co 0.0000 0.4960 0.2447  5 La 2.74-2.78, 1 Sm 2.79
10 Co 0.5000 0.5040 0.7447  5 La 2.74-2.78, 1 Sm 2.79

---

Question: which arrangement is favored energetically? Ranking from most to least stable: #B, #A.

---

#A
Material: LaSm3Co
Method: DFT, PBE-GGA
State: optimized geometry

Computed properties:
The space group is C2/m. The value obtained for the density of states at the Fermi level is 5.09 states/eV/f.u. The crystal system is monoclinic.

Unit cell a=7.3162 b=7.3162 c=8.4408 alpha=124.61 beta=124.61 gamma=70.83
With the nearest neighbours (Å) after each atom.
Sites, in units of the cell vectors:
1 La 0.0408 0.0408 0.3288  1 Co 2.51
2 La 0.9592 0.9592 0.6712  1 Co 2.51
3 Sm 0.0459 0.4557 0.2076  1 Co 2.64
4 Sm 0.4557 0.0459 0.2076  1 Co 2.64
5 Sm 0.4559 0.4559 0.7511  1 Co 2.62
6 Sm 0.5441 0.5441 0.2489  1 Co 2.62
7 Sm 0.5443 0.9541 0.7924  1 Co 2.64
8 Sm 0.9541 0.5443 0.7924  1 Co 2.64
9 Co 0.2447 0.2447 0.8860  1 La 2.51, 3 Sm 2.62-2.64
10 Co 0.7553 0.7553 0.1140  1 La 2.51, 3 Sm 2.62-2.64

---

#B
Material: LaSm3Co
Method: DFT, PBE-GGA
State: optimized geometry

Computed properties:
The space group is P6_3/mmc. The value obtained for the density of states at the Fermi level is 5.10 states/eV/f.u. The crystal system is hexagonal.

Unit cell a=7.6882 b=7.6882 c=5.9194 alpha=90.00 beta=90.00 gamma=120.00
With the nearest neighbours (Å) after each atom.
Sites, in units of the cell vectors:
1 La 0.3333 0.6667 0.2500  12 Sm 3.65-3.85
2 La 0.6667 0.3333 0.7500  12 Sm 3.65-3.85
3 Sm 0.1730 0.3459 0.7500  2 Co 2.74
4 Sm 0.1730 0.8270 0.7500  2 Co 2.74
5 Sm 0.3459 0.1730 0.2500  2 Co 2.74
6 Sm 0.6541 0.8270 0.7500  2 Co 2.74
7 Sm 0.8270 0.1730 0.2500  2 Co 2.74
8 Sm 0.8270 0.6541 0.2500  2 Co 2.74
9 Co 0.0000 0.0000 0.0000  6 Sm 2.74, 2 Co 2.96
10 Co 0.0000 0.0000 0.5000  6 Sm 2.74, 2 Co 2.96

---

Question: which arrangement is favored energetically? Ranking from most to least stable: #A, #B.

---

#A
Material: La5CoSn2
Method: DFT, PBE-GGA
State: optimized geometry

Computed properties:
The space group is I4mm. The value obtained for the density of states at the Fermi level is 8.58 states/eV/f.u. The crystal system is tetragonal.

Unit cell a=7.0285 b=7.0285 c=7.0285 alpha=115.57 beta=115.57 gamma=97.87
With the nearest neighbours (Å) after each atom.
Sites, in units of the cell vectors:
1 La 0.0000 0.0000 0.0000  1 Co 2.49
2 La 0.4878 0.4878 0.4982  1 Co 2.66
3 La 0.4878 0.9896 0.0000  1 Co 2.66
4 La 0.9896 0.4878 0.0000  1 Co 2.66
5 La 0.9896 0.9896 0.5018  1 Co 2.66
6 Co 0.7303 0.7303 0.0000  5 La 2.49-2.66
7 Sn 0.4922 0.9922 0.5000  10 La 3.49-3.75
8 Sn 0.9922 0.4922 0.5000  10 La 3.49-3.75

---

#B
Material: La5CoSn2
Method: DFT, PBE-GGA
State: optimized geometry

Computed properties:
The space group is Pnma. The value obtained for the density of states at the Fermi level is 7.41 states/eV/f.u. The crystal system is orthorhombic.

Unit cell a=12.8342 b=9.2874 c=8.3176 alpha=90.00 beta=90.00 gamma=90.00
With the nearest neighbours (Å) after each atom.
Sites, in units of the cell vectors:
1 La 0.0034 0.2500 0.0472  1 Co 3.17, 4 Sn 3.27-3.28, 2 La 3.53
2 La 0.0650 0.5275 0.3215  2 Co 2.80-3.11
3 La 0.0650 0.9725 0.3215  2 Co 2.80-3.11
4 La 0.1989 0.2500 0.6256  1 Co 2.89
5 La 0.2025 0.7500 0.6506  1 Co 2.86
6 La 0.2975 0.2500 0.1506  1 Co 2.86
7 La 0.3011 0.7500 0.1256  1 Co 2.89
8 La 0.4350 0.0275 0.8215  2 Co 2.80-3.11
9 La 0.4350 0.4725 0.8215  2 Co 2.80-3.11
10 La 0.4966 0.7500 0.5472  1 Co 3.17, 4 Sn 3.27-3.28, 2 La 3.53
11 La 0.5034 0.2500 0.4528  1 Co 3.17, 4 Sn 3.27-3.28, 2 La 3.53
12 La 0.5650 0.5275 0.1785  2 Co 2.80-3.11
13 La 0.5650 0.9725 0.1785  2 Co 2.80-3.11
14 La 0.6989 0.2500 0.8744  1 Co 2.89
15 La 0.7025 0.7500 0.8494  1 Co 2.86
16 La 0.7975 0.2500 0.3494  1 Co 2.86
17 La 0.8011 0.7500 0.3744  1 Co 2.89
18 La 0.9350 0.0275 0.6785  2 Co 2.80-3.11
19 La 0.9350 0.4725 0.6785  2 Co 2.80-3.11
20 La 0.9966 0.7500 0.9528  1 Co 3.17, 4 Sn 3.27-3.28, 2 La 3.53
21 Co 0.0144 0.2500 0.4274  6 La 2.80-3.11
22 Co 0.4856 0.7500 0.9274  6 La 2.80-3.11
23 Co 0.5144 0.2500 0.0726  6 La 2.80-3.11
24 Co 0.9856 0.7500 0.5726  6 La 2.80-3.11
25 Sn 0.1710 0.0057 0.9261  8 La 3.27-3.57
26 Sn 0.1710 0.4943 0.9261  8 La 3.27-3.57
27 Sn 0.3290 0.5057 0.4261  8 La 3.27-3.57
28 Sn 0.3290 0.9943 0.4261  8 La 3.27-3.57
29 Sn 0.6710 0.0057 0.5739  8 La 3.27-3.57
30 Sn 0.6710 0.4943 0.5739  8 La 3.27-3.57
31 Sn 0.8290 0.5057 0.0739  8 La 3.27-3.57
32 Sn 0.8290 0.9943 0.0739  8 La 3.27-3.57

---

Question: which arrangement is favored energetically? Ranking from most to least stable: #B, #A.

---

#A
Material: La6Co2Sn
Method: DFT, PBE-GGA
State: optimized geometry

Computed properties:
The space group is Immm. The value obtained for the density of states at the Fermi level is 6.22 states/eV/f.u. The crystal system is orthorhombic.

Unit cell a=8.8313 b=8.8313 c=8.8313 alpha=115.43 beta=107.52 gamma=105.63
With the nearest neighbours (Å) after each atom.
Sites, in units of the cell vectors:
1 La 0.0224 0.2256 0.7969  1 Co 2.53
2 La 0.1717 0.3012 0.4729  3 Co 3.03-3.04, 1 Sn 3.36
3 La 0.1717 0.6988 0.8705  3 Co 3.03-3.04, 1 Sn 3.36
4 La 0.3336 0.0176 0.6840  1 Co 2.65
5 La 0.3336 0.6496 0.3160  1 Co 2.65
6 La 0.4287 0.2256 0.2031  1 Co 2.53
7 La 0.5713 0.7744 0.7969  1 Co 2.53
8 La 0.6664 0.3504 0.6840  1 Co 2.65
9 La 0.6664 0.9824 0.3160  1 Co 2.65
10 La 0.8283 0.3012 0.1295  3 Co 3.03-3.04, 1 Sn 3.36
11 La 0.8283 0.6988 0.5271  3 Co 3.03-3.04, 1 Sn 3.36
12 La 0.9776 0.7744 0.2031  1 Co 2.53
13 Co 0.1458 0.6458 0.5000  2 La 2.65
14 Co 0.2762 0.0000 0.2762  2 La 2.53
15 Co 0.7238 0.0000 0.7238  2 La 2.53
16 Co 0.8542 0.3542 0.5000  2 La 2.65
17 Sn 0.0000 0.0000 0.0000  2 Co 2.88, 4 La 3.21
18 Sn 0.5000 0.5000 0.0000  8 La 3.47-3.62

---

#B
Material: La6Co2Sn
Method: DFT, PBE-GGA
State: optimized geometry

Computed properties:
The space group is C2/m. The value obtained for the density of states at the Fermi level is 9.22 states/eV/f.u. The crystal system is monoclinic.

Unit cell a=5.8087 b=5.8087 c=9.3140 alpha=96.23 beta=96.23 gamma=55.62
With the nearest neighbours (Å) after each atom.
Sites, in units of the cell vectors:
1 La 0.0563 0.0563 0.3567  4 La 3.04-3.29, 3 Co 3.12-3.20, 1 Sn 3.30
2 La 0.3089 0.3089 0.8741  1 Co 2.36
3 La 0.3742 0.3742 0.3547  1 Co 2.76
4 La 0.6258 0.6258 0.6453  1 Co 2.76
5 La 0.6911 0.6911 0.1259  1 Co 2.36
6 La 0.9437 0.9437 0.6433  4 La 3.04-3.29, 3 Co 3.12-3.20, 1 Sn 3.30
7 Co 0.2769 0.2769 0.6186  1 La 2.36
8 Co 0.7231 0.7231 0.3814  1 La 2.36
9 Sn 0.0000 0.0000 0.0000  8 La 3.30-3.52

---

Question: which arrangement is favored energetically? Ranking from most to least stable: #A, #B.

---

#A
Material: La2CoSn
Method: DFT, PBE-GGA
State: optimized geometry

Computed properties:
The space group is P4/mmm. The value obtained for the density of states at the Fermi level is 2.72 states/eV/f.u. The crystal system is tetragonal.

Unit cell a=3.5231 b=3.5231 c=8.3224 alpha=90.00 beta=90.00 gamma=90.00
With the nearest neighbours (Å) after each atom.
Sites, in units of the cell vectors:
1 La 0.0000 0.0000 0.2068  4 Co 3.03
2 La 0.0000 0.0000 0.7932  4 Co 3.03
3 Co 0.5000 0.5000 0.0000  8 La 3.03
4 Sn 0.5000 0.5000 0.5000  8 La 3.49, 4 Sn 3.52

---

#B
Material: La2CoSn
Method: DFT, PBE-GGA
State: optimized geometry

Computed properties:
The space group is I-42d. The value obtained for the density of states at the Fermi level is 3.91 states/eV/f.u. The crystal system is tetragonal.

Unit cell a=6.5937 b=6.5937 c=6.5937 alpha=103.29 beta=103.29 gamma=122.71
With the nearest neighbours (Å) after each atom.
Sites, in units of the cell vectors:
1 La 0.0555 0.1250 0.4305  2 Co 2.64
2 La 0.3750 0.9445 0.0695  2 Co 2.64
3 La 0.6945 0.6250 0.5695  2 Co 2.64
4 La 0.8750 0.3055 0.9305  2 Co 2.64
5 Co 0.0000 0.0000 0.0000  4 La 2.64
6 Co 0.7500 0.2500 0.5000  4 La 2.64
7 Sn 0.2500 0.7500 0.5000  2 Co 3.16, 8 La 3.41-3.46
8 Sn 0.5000 0.5000 0.0000  2 Co 3.16, 8 La 3.41-3.46

---

Question: which arrangement is favored energetically? Ranking from most to least stable: #A, #B.